Record 1
ErPaAg after structural relaxation. Source: Alexandria, functional PBE.

Cell: 14.1956 14.1956 14.1956 Å, 166.62 166.62 18.97°
Atoms (fractional coordinates):
Er  0.1204  0.1204  0.0000
Er  0.8796  0.8796  0.0000
Pa  0.2913  0.2913  0.0000
Pa  0.7087  0.7087  0.0000
Ag  0.4509  0.4509  0.0000
Ag  0.5491  0.5491  0.0000

Values from the calculation:
Offset from the most stable computed form: 0 meV/atom
Energy of formation from the pure elements: 0.18 eV per formula unit

=====

Record 2
TmCdSi after structural relaxation. Source: Alexandria, functional PBE.

Cell: 8.2703 8.2703 3.7481 Å, 90.00 90.00 149.29°
Atoms (fractional coordinates):
Tm  0.0872  0.9128  0.7500
Tm  0.9128  0.0872  0.2500
Cd  0.2668  0.7332  0.2500
Cd  0.7332  0.2668  0.7500
Si  0.4483  0.5517  0.7500
Si  0.5517  0.4483  0.2500

Values from the calculation:
Uncorrected formation energy: -391.9 meV/atom

=====

Record 3
Ti2TlTe4 after structural relaxation. Source: Alexandria, functional PBE.

Cell: 16.2532 16.2532 16.2532 Å, 13.40 13.40 13.40°
Atoms (fractional coordinates):
Ti  0.0696  0.0696  0.0696
Ti  0.9304  0.9304  0.9304
Tl  0.5000  0.5000  0.5000
Te  0.2276  0.2276  0.2276
Te  0.3679  0.3679  0.3679
Te  0.6321  0.6321  0.6321
Te  0.7724  0.7724  0.7724

Values from the calculation:
Uncorrected formation energy: -596.7 meV/atom

=====

Record 4
NpCo2Si after structural relaxation. Source: Alexandria, functional PBE.

Cell: 4.9213 4.9213 4.9213 Å, 47.09 47.09 47.09°
Atoms (fractional coordinates):
Np  0.0000  0.0000  0.0000
Co  0.2168  0.2168  0.2168
Co  0.7832  0.7832  0.7832
Si  0.5000  0.5000  0.5000

Values from the calculation:
Uncorrected formation energy: -298.0 meV/atom

=====

Record 5
Rb2VBr2Cl4 after structural relaxation. Source: Alexandria, functional PBE.

Cell: 7.3413 7.3413 7.3413 Å, 120.21 120.21 89.63°
Atoms (fractional coordinates):
Rb  0.2500  0.7500  0.5000
Rb  0.7500  0.2500  0.5000
V  0.0000  0.0000  0.0000
Br  0.2421  0.2421  0.0000
Br  0.7579  0.7579  0.0000
Cl  0.2242  0.2242  0.4484
Cl  0.2242  0.7758  0.0000
Cl  0.7758  0.2242  0.0000
Cl  0.7758  0.7758  0.5516

Values from the calculation:
Uncorrected formation energy: -1442.5 meV/atom

=====

Record 6
KH2AuN after structural relaxation. Source: Alexandria, functional PBE.

Cell: 3.7977 3.7977 7.0277 Å, 90.00 90.00 90.00°
Atoms (fractional coordinates):
K  0.0000  0.0000  0.0000
H  0.0000  0.5000  0.0000
H  0.5000  0.0000  0.0000
Au  0.0000  0.0000  0.5000
N  0.5000  0.5000  0.5000

Values from the calculation:
Total energy: -9.9 eV/cell

=====

Copy entry 2 word for word.
TmCdSi after structural relaxation. Source: Alexandria, functional PBE.

Cell: 8.2703 8.2703 3.7481 Å, 90.00 90.00 149.29°
Atoms (fractional coordinates):
Tm  0.0872  0.9128  0.7500
Tm  0.9128  0.0872  0.2500
Cd  0.2668  0.7332  0.2500
Cd  0.7332  0.2668  0.7500
Si  0.4483  0.5517  0.7500
Si  0.5517  0.4483  0.2500

Values from the calculation:
Uncorrected formation energy: -391.9 meV/atom